1.
First-principles (PBE-GGA) data for a relaxed V5Bi3S12 crystal, as listed in Alexandria via LeMat-Bulk. Values from VASP.

space group = No. 230
raw formation energy = -0.57 eV per atom

Geometry as Quantum ESPRESSO input:
```
&SYSTEM
  ibrav = 0, nat = 80, ntyp = 3
/
ATOMIC_SPECIES
V 50.94 V.upf
Bi 208.98 Bi.upf
S 32.06 S.upf
ATOMIC_POSITIONS crystal
V 0.0000 0.0000 0.0000
V 0.0000 0.0000 0.5000
V 0.0000 0.5000 0.0000
V 0.0000 0.5000 0.5000
V 0.1250 0.7500 0.8750
V 0.1250 0.8750 0.2500
V 0.2500 0.1250 0.8750
V 0.2500 0.6250 0.3750
V 0.3750 0.2500 0.6250
V 0.3750 0.6250 0.7500
V 0.5000 0.0000 0.0000
V 0.5000 0.0000 0.5000
V 0.5000 0.5000 0.0000
V 0.5000 0.5000 0.5000
V 0.6250 0.3750 0.2500
V 0.6250 0.7500 0.3750
V 0.7500 0.3750 0.6250
V 0.7500 0.8750 0.1250
V 0.8750 0.1250 0.7500
V 0.8750 0.2500 0.1250
Bi 0.1250 0.2500 0.3750
Bi 0.1250 0.3750 0.7500
Bi 0.2500 0.3750 0.1250
Bi 0.2500 0.8750 0.6250
Bi 0.3750 0.1250 0.2500
Bi 0.3750 0.7500 0.1250
Bi 0.6250 0.2500 0.8750
Bi 0.6250 0.8750 0.7500
Bi 0.7500 0.1250 0.3750
Bi 0.7500 0.6250 0.8750
Bi 0.8750 0.6250 0.2500
Bi 0.8750 0.7500 0.6250
S 0.0238 0.2026 0.1190
S 0.0238 0.3212 0.9048
S 0.0836 0.7026 0.6788
S 0.0836 0.8810 0.4048
S 0.0952 0.6190 0.4164
S 0.0952 0.9762 0.6788
S 0.1190 0.0238 0.2026
S 0.1190 0.5952 0.9164
S 0.1788 0.2026 0.5836
S 0.1788 0.4762 0.5952
S 0.2026 0.1190 0.0238
S 0.2026 0.5836 0.1788
S 0.2974 0.3212 0.9164
S 0.2974 0.4762 0.3810
S 0.3212 0.9048 0.0238
S 0.3212 0.9164 0.2974
S 0.3810 0.2974 0.4762
S 0.3810 0.5836 0.9048
S 0.4048 0.0836 0.8810
S 0.4048 0.8212 0.5238
S 0.4164 0.0952 0.6190
S 0.4164 0.8212 0.7974
S 0.4762 0.3810 0.2974
S 0.4762 0.5952 0.1788
S 0.5238 0.4048 0.8212
S 0.5238 0.6190 0.7026
S 0.5836 0.1788 0.2026
S 0.5836 0.9048 0.3810
S 0.5952 0.1788 0.4762
S 0.5952 0.9164 0.1190
S 0.6190 0.4164 0.0952
S 0.6190 0.7026 0.5238
S 0.6788 0.0836 0.7026
S 0.6788 0.0952 0.9762
S 0.7026 0.5238 0.6190
S 0.7026 0.6788 0.0836
S 0.7974 0.4164 0.8212
S 0.7974 0.8810 0.9762
S 0.8212 0.5238 0.4048
S 0.8212 0.7974 0.4164
S 0.8810 0.4048 0.0836
S 0.8810 0.9762 0.7974
S 0.9048 0.0238 0.3212
S 0.9048 0.3810 0.5836
S 0.9164 0.1190 0.5952
S 0.9164 0.2974 0.3212
S 0.9762 0.6788 0.0952
S 0.9762 0.7974 0.8810
CELL_PARAMETERS angstrom
-7.5754 7.5754 7.5754
7.5754 -7.5754 7.5754
7.5754 7.5754 -7.5754
```

2.
First-principles (PBE-GGA) data for a relaxed VBiS crystal, as listed in Alexandria via LeMat-Bulk. Values from VASP.

space group = No. 8
raw formation energy = -0.40 eV per atom

Geometry as Quantum ESPRESSO input:
```
&SYSTEM
  ibrav = 0, nat = 3, ntyp = 3
/
ATOMIC_SPECIES
V 50.94 V.upf
Bi 208.98 Bi.upf
S 32.06 S.upf
ATOMIC_POSITIONS crystal
V 0.0000 0.0000 0.0000
Bi 0.7686 0.7686 0.3208
S 0.2760 0.2760 0.8232
CELL_PARAMETERS angstrom
2.9259 -1.6848 0.0000
2.9259 1.6848 0.0000
-1.8738 0.0000 7.0801
```

3.
First-principles (PBE-GGA) data for a relaxed V2BiWS crystal, as listed in Alexandria via LeMat-Bulk. Values from VASP.

space group = No. 123
raw formation energy = 1.34 eV per atom

Geometry as Quantum ESPRESSO input:
```
&SYSTEM
  ibrav = 0, nat = 5, ntyp = 4
/
ATOMIC_SPECIES
V 50.94 V.upf
Bi 208.98 Bi.upf
W 183.84 W.upf
S 32.06 S.upf
ATOMIC_POSITIONS crystal
V 0.0000 0.5000 0.0000
V 0.5000 0.0000 0.0000
Bi 0.0000 0.0000 0.5000
W 0.0000 0.0000 0.0000
S 0.5000 0.5000 0.5000
CELL_PARAMETERS angstrom
4.7970 0.0000 0.0000
0.0000 4.7970 0.0000
0.0000 0.0000 5.2770
```

4.
First-principles (PBE-GGA) data for a relaxed BiWS3 crystal, as listed in Alexandria via LeMat-Bulk. Values from VASP.

space group = No. 221
raw formation energy = 0.08 eV per atom

Geometry as Quantum ESPRESSO input:
```
&SYSTEM
  ibrav = 0, nat = 5, ntyp = 3
/
ATOMIC_SPECIES
Bi 208.98 Bi.upf
W 183.84 W.upf
S 32.06 S.upf
ATOMIC_POSITIONS crystal
Bi 0.0000 0.0000 0.0000
W 0.5000 0.5000 0.5000
S 0.0000 0.5000 0.5000
S 0.5000 0.0000 0.5000
S 0.5000 0.5000 0.0000
CELL_PARAMETERS angstrom
4.7256 0.0000 0.0000
0.0000 4.7256 0.0000
0.0000 0.0000 4.7256
```

5.
First-principles (PBE-GGA) data for a relaxed BiWS3 crystal, as listed in Alexandria via LeMat-Bulk. Values from VASP.

space group = No. 221
raw formation energy = 1.55 eV per atom

Geometry as Quantum ESPRESSO input:
```
&SYSTEM
  ibrav = 0, nat = 5, ntyp = 3
/
ATOMIC_SPECIES
Bi 208.98 Bi.upf
W 183.84 W.upf
S 32.06 S.upf
ATOMIC_POSITIONS crystal
Bi 0.0000 0.0000 0.0000
W 0.5000 0.5000 0.5000
S 0.0000 0.0000 0.5000
S 0.0000 0.5000 0.0000
S 0.5000 0.0000 0.0000
CELL_PARAMETERS angstrom
5.1341 0.0000 0.0000
0.0000 5.1341 0.0000
0.0000 0.0000 5.1341
```

6.
First-principles (PBE-GGA) data for a relaxed BiWS2 crystal, as listed in Alexandria via LeMat-Bulk. Values from VASP.

space group = No. 122
raw formation energy = 0.26 eV per atom

Geometry as Quantum ESPRESSO input:
```
&SYSTEM
  ibrav = 0, nat = 8, ntyp = 3
/
ATOMIC_SPECIES
Bi 208.98 Bi.upf
W 183.84 W.upf
S 32.06 S.upf
ATOMIC_POSITIONS crystal
Bi 0.0000 0.0000 0.0000
Bi 0.7500 0.2500 0.5000
W 0.2500 0.7500 0.5000
W 0.5000 0.5000 0.0000
S 0.2105 0.6250 0.0855
S 0.3750 0.4605 0.5855
S 0.5395 0.1250 0.9145
S 0.8750 0.7895 0.4145
CELL_PARAMETERS angstrom
-3.1591 3.1591 5.1090
3.1591 -3.1591 5.1090
3.1591 3.1591 -5.1090
```

no.,E_tot (eV per formula unit)
1,-118.26
2,-18.32
3,-32.51
4,-28.79
5,-21.46
6,-24.06